This record from OQMD describes PrHoCu2 after structural relaxation. The functional is PBE.

* excess energy over the best structure of this formula in the dataset: 0.004 eV/atom
* DFT total energy: -4.41 eV/atom
* space group: P2_1/m

Unit cell a=5.497 b=4.495 c=7.256 alpha=90.00 beta=92.55 gamma=90.00
Fractional positions:
Pr: 0.132 0.250 0.185
Pr: 0.868 0.750 0.815
Ho: 0.369 0.250 0.677
Ho: 0.631 0.750 0.323
Cu: 0.133 0.750 0.472
Cu: 0.385 0.750 0.962
Cu: 0.615 0.250 0.038
Cu: 0.867 0.250 0.528

This record from OQMD describes PrHoCu2 after structural relaxation. The functional is PBE.

* excess energy over the best structure of this formula in the dataset: 0.000 eV/atom
* DFT total energy: -4.41 eV/atom
* space group: Pmn2_1

Unit cell a=4.516 b=7.228 c=5.446 alpha=90.00 beta=90.00 gamma=90.00
Fractional positions:
Pr: 0.000 0.072 0.000
Pr: 0.500 0.928 0.500
Ho: 0.000 0.567 0.763
Ho: 0.500 0.433 0.263
Cu: 0.000 0.235 0.501
Cu: 0.000 0.699 0.251
Cu: 0.500 0.301 0.751
Cu: 0.500 0.765 0.001

This record from OQMD describes PrHoCu2Si2 after structural relaxation. The functional is PBE.

* DFT total energy: -5.25 eV/atom
* space group: P-3m1

Unit cell a=4.169 b=4.169 c=7.745 alpha=90.00 beta=90.00 gamma=120.00
Fractional positions:
Pr: 0.000 0.000 0.000
Ho: 0.000 0.000 0.500
Cu: 0.333 0.667 0.265
Cu: 0.667 0.333 0.735
Si: 0.333 0.667 0.734
Si: 0.667 0.333 0.266

This record from OQMD describes PrHo2Cu4Sn4 after structural relaxation. The functional is PBE.

* DFT total energy: -4.58 eV/atom
* space group: Immm

Unit cell a=8.489 b=8.489 c=8.489 alpha=149.49 beta=130.88 gamma=58.94
Fractional positions:
Pr: 0.000 0.000 0.000
Ho: 0.369 0.869 0.500
Ho: 0.631 0.131 0.500
Cu: 0.017 0.330 0.686
Cu: 0.356 0.670 0.686
Cu: 0.644 0.330 0.314
Cu: 0.983 0.670 0.314
Sn: 0.219 0.219 0.000
Sn: 0.303 0.500 0.803
Sn: 0.697 0.500 0.197
Sn: 0.781 0.781 0.000

This record from OQMD describes PrHoCu2Sn2 after structural relaxation. The functional is PBE.

* DFT total energy: -4.72 eV/atom
* space group: P3m1

Unit cell a=4.567 b=4.567 c=7.388 alpha=90.00 beta=90.00 gamma=120.00
Fractional positions:
Pr: 0.000 0.000 0.000
Ho: 0.000 0.000 0.499
Cu: 0.333 0.667 0.794
Cu: 0.667 0.333 0.326
Sn: 0.333 0.667 0.241
Sn: 0.667 0.333 0.720

This record from OQMD describes Pr2HoCu4Sn4 after structural relaxation. The functional is PBE.

* DFT total energy: -4.62 eV/atom
* space group: Immm

Unit cell a=8.581 b=8.581 c=8.581 alpha=148.98 beta=132.49 gamma=57.83
Fractional positions:
Pr: 0.133 0.133 0.000
Pr: 0.867 0.867 0.000
Ho: 0.500 0.000 0.500
Cu: 0.146 0.331 0.815
Cu: 0.484 0.669 0.815
Cu: 0.516 0.331 0.185
Cu: 0.854 0.669 0.185
Sn: 0.207 0.500 0.707
Sn: 0.286 0.786 0.500
Sn: 0.714 0.214 0.500
Sn: 0.793 0.500 0.293